Record 1
## UH7Rh2 (GGA-PBE)

Data for crystalline UH7Rh2 at its relaxed geometry.

Properties
Electronic total energy in eV per atom: -5.0615

a b c (Å): 3.5320 5.1995 5.2260
angles (deg): 119.83 90.00 90.00
Last column: nearest neighbours and their distance in Å.
Positions (direct):
H 0.0000 0.6824 0.3648  2 Rh 1.77
H 0.5000 0.9632 0.2786  2 Rh 1.74-1.84, 1 H 1.83
H 0.5000 0.0368 0.7214  2 Rh 1.74-1.84, 1 H 1.83
H 0.5000 0.6846 0.7214  2 Rh 1.74-1.84, 1 H 1.83
Rh 0.5000 0.6853 0.3706  7 H 1.68-1.84
Rh 0.5000 0.3147 0.6294  7 H 1.68-1.84
U 0.0000 0.0000 0.0000  8 H 2.36
H 0.5000 0.3154 0.2786  2 Rh 1.74-1.84, 1 H 1.83
H 0.5000 0.5000 0.0000  2 Rh 1.68
H 0.0000 0.3176 0.6352  2 Rh 1.77

Record 2
## UHRh (GGA-PBE)

Data for crystalline UHRh at its relaxed geometry.

Properties
Distance to the lowest polymorph of the same formula in meV per atom: 0
Electronic total energy in eV per atom: -7.4494

a b c (Å): 4.1899 3.4498 3.4498
angles (deg): 120.00 90.00 90.00
Last column: nearest neighbours and their distance in Å.
Positions (direct):
H 0.0456 0.0000 0.0000  3 U 2.20
Rh 0.6885 0.3333 0.6667  3 H 2.49, 3 U 2.66
U 0.2659 0.6667 0.3333  3 H 2.20

Record 3
## UH2Rh (GGA-PBE)

Data for crystalline UH2Rh at its relaxed geometry.

Properties
Electronic total energy in eV per atom: -6.4815

a b c (Å): 2.9559 2.9559 5.7009
angles (deg): 74.97 74.97 60.00
Last column: nearest neighbours and their distance in Å.
Positions (direct):
Rh 0.0000 0.0000 0.0000  6 H 1.94
U 0.5000 0.5000 0.5000  6 H 2.48
H 0.2773 0.2773 0.1681  3 Rh 1.94
H 0.7227 0.7227 0.8319  3 Rh 1.94

- Among the records above, which one has the highest electronic total energy?
  UH7Rh2

Repeat the third record exactly.
## UH2Rh (GGA-PBE)

Data for crystalline UH2Rh at its relaxed geometry.

Properties
Electronic total energy in eV per atom: -6.4815

a b c (Å): 2.9559 2.9559 5.7009
angles (deg): 74.97 74.97 60.00
Last column: nearest neighbours and their distance in Å.
Positions (direct):
Rh 0.0000 0.0000 0.0000  6 H 1.94
U 0.5000 0.5000 0.5000  6 H 2.48
H 0.2773 0.2773 0.1681  3 Rh 1.94
H 0.7227 0.7227 0.8319  3 Rh 1.94